[1]
# Nd2YCo2 | Alexandria via LeMat-Bulk | GGA-PBE | optimized geometry
# Raw total energy: -6.00 eV per atom
# Crystal system: monoclinic
# SG: C2/m, No. 12
# Calculated density: 6.869 Mg/m³
# Energy of formation from the pure elements: 0.9 kcal/mol of atoms
# Calculated volume: 119.7 Å³ per cell
data_Nd2YCo2
_cell_length_a 3.799
_cell_length_b 5.775
_cell_length_c 5.961
_cell_angle_alpha 104.24
_cell_angle_beta 108.58
_cell_angle_gamma 90.00
_space_group_name_H-M_alt 'P 1'
_space_group_IT_number 1
loop_
_space_group_symop_operation_xyz
'x,y,z'
loop_
_atom_site_label
_atom_site_type_symbol
_atom_site_fract_x
_atom_site_fract_y
_atom_site_fract_z
Nd1 Nd 0.354 0.412 0.708
Nd2 Nd 0.646 0.588 0.292
Y1 Y 0.000 0.000 0.000
Co1 Co 0.724 0.097 0.447
Co2 Co 0.276 0.903 0.553

---

[2]
# NdY2Co | Alexandria via LeMat-Bulk | GGA-PBE | optimized geometry
# Raw total energy: -6.30 eV per atom
# Crystal system: orthorhombic
# SG: Cmcm, No. 63
# Calculated density: 5.861 Mg/m³
# Energy of formation from the pure elements: -2.3 kcal/mol of atoms
# Calculated volume: 215.9 Å³ per cell
data_NdY2Co
_cell_length_a 3.667
_cell_length_b 6.406
_cell_length_c 9.588
_cell_angle_alpha 90.00
_cell_angle_beta 90.00
_cell_angle_gamma 106.59
_space_group_name_H-M_alt 'P 1'
_space_group_IT_number 1
loop_
_space_group_symop_operation_xyz
'x,y,z'
loop_
_atom_site_label
_atom_site_type_symbol
_atom_site_fract_x
_atom_site_fract_y
_atom_site_fract_z
Nd1 Nd 0.915 0.830 0.250
Nd2 Nd 0.085 0.170 0.750
Y1 Y 0.358 0.716 0.574
Y2 Y 0.642 0.284 0.426
Y3 Y 0.358 0.716 0.926
Y4 Y 0.642 0.284 0.074
Co1 Co 0.754 0.507 0.750
Co2 Co 0.246 0.493 0.250

---

[3]
# Nd3Y2Co2 | Alexandria via LeMat-Bulk | GGA-PBE | optimized geometry
# Raw total energy: -6.00 eV per atom
# Crystal system: monoclinic
# SG: C2/m, No. 12
# Calculated density: 6.484 Mg/m³
# Energy of formation from the pure elements: -1.9 kcal/mol of atoms
# Calculated volume: 186.6 Å³ per cell
data_Nd3Y2Co2
_cell_length_a 3.795
_cell_length_b 6.365
_cell_length_c 8.607
_cell_angle_alpha 100.46
_cell_angle_beta 102.75
_cell_angle_gamma 107.36
_space_group_name_H-M_alt 'P 1'
_space_group_IT_number 1
loop_
_space_group_symop_operation_xyz
'x,y,z'
loop_
_atom_site_label
_atom_site_type_symbol
_atom_site_fract_x
_atom_site_fract_y
_atom_site_fract_z
Nd1 Nd 0.500 0.000 0.000
Nd2 Nd 0.190 0.806 0.575
Nd3 Nd 0.810 0.194 0.425
Y1 Y 0.633 0.458 0.809
Y2 Y 0.367 0.542 0.191
Co1 Co 0.061 0.878 0.243
Co2 Co 0.939 0.122 0.757

---

[4]
# Nd2YCo | Alexandria via LeMat-Bulk | GGA-PBE | optimized geometry
# Raw total energy: -5.86 eV per atom
# Crystal system: orthorhombic
# SG: Pnma, No. 62
# Calculated density: 6.561 Mg/m³
# Energy of formation from the pure elements: -2.0 kcal/mol of atoms
# Calculated volume: 441.7 Å³ per cell
data_Nd2YCo
_cell_length_a 6.276
_cell_length_b 7.088
_cell_length_c 9.931
_cell_angle_alpha 90.00
_cell_angle_beta 90.00
_cell_angle_gamma 90.00
_space_group_name_H-M_alt 'P 1'
_space_group_IT_number 1
loop_
_space_group_symop_operation_xyz
'x,y,z'
loop_
_atom_site_label
_atom_site_type_symbol
_atom_site_fract_x
_atom_site_fract_y
_atom_site_fract_z
Nd1 Nd 0.175 0.675 0.070
Nd2 Nd 0.325 0.175 0.430
Nd3 Nd 0.825 0.325 0.570
Nd4 Nd 0.675 0.825 0.930
Nd5 Nd 0.825 0.325 0.930
Nd6 Nd 0.675 0.825 0.570
Nd7 Nd 0.175 0.675 0.430
Nd8 Nd 0.325 0.175 0.070
Y1 Y 0.653 0.543 0.250
Y2 Y 0.847 0.043 0.250
Y3 Y 0.347 0.457 0.750
Y4 Y 0.153 0.957 0.750
Co1 Co 0.056 0.383 0.250
Co2 Co 0.444 0.883 0.250
Co3 Co 0.944 0.617 0.750
Co4 Co 0.556 0.117 0.750